{"formula": "Ho2VCo", "functional": "GGA-PBE", "state": "relaxed", "formation_enthalpy_0k_ev_per_atom": 0.62, "lattice_angstrom": [[3.319, 0.000, 0.000], [1.659, 2.874, 0.000], [1.659, 0.958, 9.504]], "species": ["Co", "Ho", "Ho", "V"], "fractional_positions": [[0.500, 0.500, 0.500], [0.102, 0.102, 0.695], [0.898, 0.898, 0.305], [0.000, 0.000, 0.000]]}